PBE TaInGa, optimized geometry; energy of formation from the pure elements = 0.008 eV/atom; crystal system = monoclinic
1.0
5.0055 0.0000 0.0000
0.0000 5.0015 0.0000
-0.0066 0.0000 9.5424
Ta In Ga
4 4 4
direct
0.2485 0.0000 0.0806
0.2515 0.5000 0.9194
0.7485 0.5000 0.0806
0.7515 0.0000 0.9194
0.2489 0.5000 0.6039
0.2511 0.0000 0.3961
0.7489 0.0000 0.6039
0.7511 0.5000 0.3961
0.2486 0.5000 0.2057
0.2514 0.0000 0.7943
0.7486 0.0000 0.2057
0.7514 0.5000 0.7943